1.
# BaIrCl2, optimized geometry, DFT GGA-PBEsol
data_BaIrCl2
_space_group_name_H-M_alt 'C 1 2/m 1'
_space_group_IT_number 12
_cell_length_a 10.1305
_cell_length_b 4.5477
_cell_length_c 4.7893
_cell_angle_alpha 90.00
_cell_angle_beta 92.40
_cell_angle_gamma 90.00
loop_
_space_group_symop_operation_xyz
'x,y,z'
'-x,-y,-z'
'-x,y,-z'
'x,-y,z'
'x+1/2,y+1/2,z'
'-x+1/2,-y+1/2,-z'
'-x+1/2,y+1/2,-z'
'x+1/2,-y+1/2,z'
loop_
_atom_site_label
_atom_site_type_symbol
_atom_site_fract_x
_atom_site_fract_y
_atom_site_fract_z
Ba1 Ba 0.0000 0.0000 0.0000
Ir1 Ir 0.0000 0.5000 0.5000
Cl1 Cl 0.1898 0.5000 0.7548
# **Formation energy from raw total energies**: -0.75 eV/atom
# **Calculated volume**: 220.5 Å³/cell
# **Calculated total energy**: -4.748 eV per atom

2.
# MnTeIr4, optimized geometry, DFT GGA-PBEsol
data_MnTeIr4
_space_group_name_H-M_alt 'F -4 3 m'
_space_group_IT_number 216
_space_group_name_Hall 'F -4 2 3'
_cell_length_a 7.3527
_cell_length_b 7.3527
_cell_length_c 7.3527
_cell_angle_alpha 90.00
_cell_angle_beta 90.00
_cell_angle_gamma 90.00
loop_
_atom_site_label
_atom_site_type_symbol
_atom_site_fract_x
_atom_site_fract_y
_atom_site_fract_z
Mn1 Mn 0.0000 0.0000 0.0000
Te1 Te 0.2500 0.2500 0.2500
Ir1 Ir 0.1255 0.1255 0.6255
# **Formation energy from raw total energies**: 0.53 eV/atom
# **Calculated volume**: 397.5 Å³/cell
# **Calculated total energy**: -8.234 eV per atom

3.
# Dy2Te5, optimized geometry, DFT GGA-PBEsol
data_Dy2Te5
_space_group_name_H-M_alt 'C m c m'
_space_group_IT_number 63
_space_group_name_Hall '-C 2c 2'
_cell_length_a 4.3081
_cell_length_b 42.9883
_cell_length_c 4.3098
_cell_angle_alpha 90.00
_cell_angle_beta 90.00
_cell_angle_gamma 90.00
loop_
_atom_site_label
_atom_site_type_symbol
_atom_site_fract_x
_atom_site_fract_y
_atom_site_fract_z
Dy1 Dy 0.0000 0.0992 0.2500
Dy2 Dy 0.0000 0.3067 0.2500
Te1 Te 0.0000 0.0432 0.7500
Te2 Te 0.0000 0.1732 0.2500
Te3 Te 0.0000 0.2500 0.7500
Te4 Te 0.0000 0.3788 0.2500
Te5 Te 0.0000 0.4568 0.7500
# **Formation energy from raw total energies**: -1.05 eV/atom
# **Calculated volume**: 798.2 Å³/cell
# **Calculated total energy**: -4.994 eV per atom

4.
# Na7Cu7O13, optimized geometry, DFT GGA-PBEsol
data_Na7Cu7O13
_space_group_name_H-M_alt 'P 1'
_space_group_IT_number 1
_cell_length_a 6.6529
_cell_length_b 6.7374
_cell_length_c 7.5432
_cell_angle_alpha 99.14
_cell_angle_beta 99.88
_cell_angle_gamma 101.84
loop_
_space_group_symop_operation_xyz
'x,y,z'
loop_
_atom_site_label
_atom_site_type_symbol
_atom_site_fract_x
_atom_site_fract_y
_atom_site_fract_z
Na1 Na 0.0000 0.0000 0.0000
Na2 Na 0.1288 0.1394 0.7137
Na3 Na 0.2699 0.2808 0.4277
Na4 Na 0.4151 0.4280 0.1480
Na5 Na 0.5549 0.5456 0.8486
Na6 Na 0.7020 0.7095 0.5733
Na7 Na 0.8492 0.8481 0.2971
Cu1 Cu 0.1330 0.6421 0.7183
Cu2 Cu 0.2789 0.7843 0.4292
Cu3 Cu 0.4158 0.9311 0.1422
Cu4 Cu 0.5539 0.0660 0.8610
Cu5 Cu 0.6989 0.2012 0.5730
Cu6 Cu 0.8407 0.3509 0.2860
Cu7 Cu 0.9876 0.4978 0.0027
O1 O 0.0567 0.3373 0.1669
O2 O 0.0611 0.7941 0.5496
O3 O 0.1914 0.9357 0.2657
O4 O 0.2059 0.4862 0.8856
O5 O 0.3468 0.0801 0.9780
O6 O 0.3497 0.6283 0.5993
O7 O 0.4786 0.2179 0.6808
O8 O 0.4972 0.7733 0.3089
O9 O 0.6274 0.3618 0.4069
O10 O 0.7690 0.5112 0.1194
O11 O 0.7762 0.0491 0.7458
O12 O 0.9144 0.1925 0.4508
O13 O 0.9145 0.6561 0.8378
# **Formation energy from raw total energies**: -0.95 eV/atom
# **Calculated volume**: 319.3 Å³/cell
# **Calculated total energy**: -4.962 eV per atom

5.
# Ba2MnTc, optimized geometry, DFT GGA-PBEsol
data_Ba2MnTc
_space_group_name_H-M_alt 'P m m m'
_space_group_IT_number 47
_cell_length_a 3.5992
_cell_length_b 3.6740
_cell_length_c 8.4703
_cell_angle_alpha 90.00
_cell_angle_beta 90.00
_cell_angle_gamma 90.00
loop_
_space_group_symop_operation_xyz
'x,y,z'
'-x,-y,-z'
'-x,-y,z'
'x,y,-z'
'x,-y,-z'
'-x,y,z'
'-x,y,-z'
'x,-y,z'
loop_
_atom_site_label
_atom_site_type_symbol
_atom_site_fract_x
_atom_site_fract_y
_atom_site_fract_z
Ba1 Ba 0.0000 0.0000 0.2342
Mn1 Mn 0.5000 0.5000 0.5000
Tc1 Tc 0.5000 0.5000 0.0000
# **Calculated volume**: 112.0 Å³/cell
# **Calculated total energy**: -5.161 eV per atom
# **Energy relative to the elements**: 1.171 eV/atom

6.
# GaSeO2, optimized geometry, DFT GGA-PBEsol
data_GaSeO2
_space_group_name_H-M_alt 'R -3 m'
_space_group_IT_number 166
_space_group_name_Hall '-R 3 2"'
_cell_length_a 2.9375
_cell_length_b 2.9375
_cell_length_c 20.5577
_cell_angle_alpha 90.00
_cell_angle_beta 90.00
_cell_angle_gamma 120.00
loop_
_atom_site_label
_atom_site_type_symbol
_atom_site_fract_x
_atom_site_fract_y
_atom_site_fract_z
Ga1 Ga 0.0000 0.0000 0.0000
Se1 Se 0.0000 0.0000 0.5000
O1 O 0.0000 0.0000 0.0940
# **Formation energy from raw total energies**: -0.16 eV/atom
# **Calculated volume**: 153.6 Å³/cell
# **Calculated total energy**: -4.586 eV per atom

7.
# Ge2AsPb2, optimized geometry, DFT GGA-PBEsol
data_Ge2AsPb2
_space_group_name_H-M_alt 'I 4/m m m'
_space_group_IT_number 139
_space_group_name_Hall '-I 4 2'
_cell_length_a 3.7195
_cell_length_b 3.7195
_cell_length_c 17.3744
_cell_angle_alpha 90.00
_cell_angle_beta 90.00
_cell_angle_gamma 90.00
loop_
_atom_site_label
_atom_site_type_symbol
_atom_site_fract_x
_atom_site_fract_y
_atom_site_fract_z
Ge1 Ge 0.0000 0.5000 0.2500
As1 As 0.0000 0.0000 0.0000
Pb1 Pb 0.0000 0.0000 0.4023
# **Calculated volume**: 240.4 Å³/cell
# **Calculated total energy**: -4.426 eV per atom
# **Energy relative to the elements**: 0.171 eV/atom

8.
# Fe2AuSe, optimized geometry, DFT GGA-PBEsol
data_Fe2AuSe
_space_group_name_H-M_alt 'P 4/m m m'
_space_group_IT_number 123
_space_group_name_Hall '-P 4 2'
_cell_length_a 4.4220
_cell_length_b 4.4220
_cell_length_c 2.8905
_cell_angle_alpha 90.00
_cell_angle_beta 90.00
_cell_angle_gamma 90.00
loop_
_atom_site_label
_atom_site_type_symbol
_atom_site_fract_x
_atom_site_fract_y
_atom_site_fract_z
Fe1 Fe 0.0000 0.5000 0.0000
Au1 Au 0.0000 0.0000 0.5000
Se1 Se 0.5000 0.5000 0.5000
# **Formation energy from raw total energies**: 0.26 eV/atom
# **Calculated volume**: 56.5 Å³/cell
# **Calculated total energy**: -6.161 eV per atom

9.
# K3CdW, optimized geometry, DFT GGA-PBEsol
data_K3CdW
_space_group_name_H-M_alt 'P m -3 m'
_space_group_IT_number 221
_space_group_name_Hall '-P 4 2 3'
_cell_length_a 6.3209
_cell_length_b 6.3209
_cell_length_c 6.3209
_cell_angle_alpha 90.00
_cell_angle_beta 90.00
_cell_angle_gamma 90.00
loop_
_atom_site_label
_atom_site_type_symbol
_atom_site_fract_x
_atom_site_fract_y
_atom_site_fract_z
K1 K 0.0000 0.0000 0.5000
Cd1 Cd 0.0000 0.0000 0.0000
W1 W 0.5000 0.5000 0.5000
# **Calculated volume**: 252.5 Å³/cell
# **Calculated total energy**: -2.060 eV per atom
# **Energy relative to the elements**: 1.621 eV/atom

10.
# La2WSe, optimized geometry, DFT GGA-PBEsol
data_La2WSe
_space_group_name_H-M_alt 'C 1 2/m 1'
_space_group_IT_number 12
_cell_length_a 6.5878
_cell_length_b 7.9674
_cell_length_c 3.5590
_cell_angle_alpha 90.00
_cell_angle_beta 94.63
_cell_angle_gamma 90.00
loop_
_space_group_symop_operation_xyz
'x,y,z'
'-x,-y,-z'
'-x,y,-z'
'x,-y,z'
'x+1/2,y+1/2,z'
'-x+1/2,-y+1/2,-z'
'-x+1/2,y+1/2,-z'
'x+1/2,-y+1/2,z'
loop_
_atom_site_label
_atom_site_type_symbol
_atom_site_fract_x
_atom_site_fract_y
_atom_site_fract_z
La1 La 0.2500 0.2500 0.0000
W1 W 0.0000 0.0000 0.5000
Se1 Se 0.0000 0.5000 0.5000
# **Formation energy from raw total energies**: -0.19 eV/atom
# **Calculated volume**: 186.2 Å³/cell
# **Calculated total energy**: -7.280 eV per atom

11.
# BPS2O, optimized geometry, DFT GGA-PBEsol
data_BPS2O
_space_group_name_H-M_alt 'P 4/m m m'
_space_group_IT_number 123
_space_group_name_Hall '-P 4 2'
_cell_length_a 4.3287
_cell_length_b 4.3287
_cell_length_c 3.7985
_cell_angle_alpha 90.00
_cell_angle_beta 90.00
_cell_angle_gamma 90.00
loop_
_atom_site_label
_atom_site_type_symbol
_atom_site_fract_x
_atom_site_fract_y
_atom_site_fract_z
B1 B 0.0000 0.0000 0.0000
P1 P 0.5000 0.5000 0.0000
S1 S 0.0000 0.5000 0.5000
O1 O 0.5000 0.5000 0.5000
# **Formation energy from raw total energies**: 1.41 eV/atom
# **Calculated volume**: 71.2 Å³/cell
# **Calculated total energy**: -3.956 eV per atom

12.
# MgInHg2, optimized geometry, DFT GGA-PBEsol
data_MgInHg2
_space_group_name_H-M_alt 'P 1 2/m 1'
_space_group_IT_number 10
_cell_length_a 3.3938
_cell_length_b 4.0553
_cell_length_c 6.4801
_cell_angle_alpha 90.00
_cell_angle_beta 90.93
_cell_angle_gamma 90.00
loop_
_space_group_symop_operation_xyz
'x,y,z'
'-x,-y,-z'
'-x,y,-z'
'x,-y,z'
loop_
_atom_site_label
_atom_site_type_symbol
_atom_site_fract_x
_atom_site_fract_y
_atom_site_fract_z
Mg1 Mg 0.0000 0.0000 0.0000
In1 In 0.0000 0.0000 0.5000
Hg1 Hg 0.4981 0.5000 0.2369
# **Calculated volume**: 89.2 Å³/cell
# **Calculated total energy**: -1.603 eV per atom
# **Energy relative to the elements**: -0.145 eV/atom

Q: Which of these has the highest calculated volume?
A: Dy2Te5

Q: The lowest calculated total energy belongs to which entry?
A: MnTeIr4

Q: Among the records above, which one has the highest calculated total energy?
A: MgInHg2